[1]
! PBE Mg2TlW, optimized geometry; values from VASP
! space group = No. 35
! size of the total moment = 0.00 Bohr magnetons per cell
! DOS(E_F) = 0.75 states/eV per atom
! uncorrected energy = -4.119 eV per atom
&SYSTEM
  ibrav = 0, nat = 4, ntyp = 3
/
ATOMIC_SPECIES
Mg 24.30 Mg.upf
Tl 204.38 Tl.upf
W 183.84 W.upf
CELL_PARAMETERS angstrom
-2.9197 0.4164 0.0121
0.5025 -1.6215 -2.4118
-1.1339 -8.1022 5.2112
ATOMIC_POSITIONS angstrom
Mg -1.1161 -7.9745 5.1290
Mg -1.4857 -2.5823 0.0735
Tl -0.5799 -4.1438 2.6652
W -2.0704 -6.7601 2.7606

---

[2]
! PBE MgTl2W, optimized geometry; values from VASP
! space group = No. 65
! size of the total moment = 0.00 Bohr magnetons per cell
! DOS(E_F) = 0.42 states/eV per atom
! uncorrected energy = -4.118 eV per atom
&SYSTEM
  ibrav = 0, nat = 4, ntyp = 3
/
ATOMIC_SPECIES
Mg 24.30 Mg.upf
Tl 204.38 Tl.upf
W 183.84 W.upf
CELL_PARAMETERS angstrom
-0.8515 -1.5668 -2.5218
0.3019 -2.0011 2.3332
-9.1273 1.2852 2.2835
ATOMIC_POSITIONS angstrom
Mg -7.1203 -0.8200 1.6183
Tl -0.0617 0.0087 0.0154
Tl -4.5020 0.6339 1.1263
W -2.5566 -1.4627 0.4766

---

[3]
! PBE MgTl2W, optimized geometry; values from VASP
! space group = No. 99
! size of the total moment = 0.00 Bohr magnetons per cell
! DOS(E_F) = 0.47 states/eV per atom
! uncorrected energy = -4.236 eV per atom
&SYSTEM
  ibrav = 0, nat = 4, ntyp = 3
/
ATOMIC_SPECIES
Mg 24.30 Mg.upf
Tl 204.38 Tl.upf
W 183.84 W.upf
CELL_PARAMETERS angstrom
2.9998 0.0000 0.0000
0.0000 2.9998 0.0000
0.0000 0.0000 10.0794
ATOMIC_POSITIONS angstrom
Mg 1.4999 1.4999 7.2263
Tl 0.0000 0.0000 9.8886
Tl 1.4999 1.4999 2.8396
W 0.0000 0.0000 5.2442

---

[4]
! PBE Mg2TlW, optimized geometry; values from VASP
! space group = No. 47
! size of the total moment = 0.00 Bohr magnetons per cell
! DOS(E_F) = 0.71 states/eV per atom
! uncorrected energy = -4.000 eV per atom
&SYSTEM
  ibrav = 0, nat = 4, ntyp = 3
/
ATOMIC_SPECIES
Mg 24.30 Mg.upf
Tl 204.38 Tl.upf
W 183.84 W.upf
CELL_PARAMETERS angstrom
3.1026 0.0000 0.0000
0.0000 4.9863 0.0000
0.0000 0.0000 5.0904
ATOMIC_POSITIONS angstrom
Mg 0.0000 0.0000 0.0000
Mg 1.5513 2.4932 0.0000
Tl 1.5513 0.0000 2.5452
W 0.0000 2.4932 2.5452

---

[5]
! PBE MgTlW4, optimized geometry; values from VASP
! space group = No. 216
! size of the total moment = 0.00 Bohr magnetons per cell
! DOS(E_F) = 0.91 states/eV per atom
! uncorrected energy = -8.587 eV per atom
&SYSTEM
  ibrav = 0, nat = 6, ntyp = 3
/
ATOMIC_SPECIES
Mg 24.30 Mg.upf
Tl 204.38 Tl.upf
W 183.84 W.upf
CELL_PARAMETERS angstrom
1.9661 0.3677 5.0305
2.8002 4.3842 1.4980
-2.1563 3.5243 3.4980
ATOMIC_POSITIONS angstrom
Mg 1.9574 6.2072 7.5199
Tl 0.0000 0.0000 0.0000
W 2.3756 5.2923 4.5104
W 1.9598 3.2900 6.2715
W -0.0953 4.8636 5.5075
W 0.9797 3.1066 3.7636

---

[6]
! PBE MgTl2W, optimized geometry; values from VASP
! space group = No. 10
! size of the total moment = 0.00 Bohr magnetons per cell
! DOS(E_F) = 0.67 states/eV per atom
! uncorrected energy = -4.082 eV per atom
&SYSTEM
  ibrav = 0, nat = 4, ntyp = 3
/
ATOMIC_SPECIES
Mg 24.30 Mg.upf
Tl 204.38 Tl.upf
W 183.84 W.upf
CELL_PARAMETERS angstrom
-4.5318 1.9277 -1.1774
-1.2660 -2.6836 0.4791
-0.8699 1.2763 5.4378
ATOMIC_POSITIONS angstrom
Mg -3.8679 -0.0917 3.8490
Tl -1.2693 -2.6734 0.5086
Tl -1.0647 -0.7139 2.9290
W -2.7999 0.6120 0.8905

---

[7]
! PBE Mg3TlW, optimized geometry; values from VASP
! space group = No. 221
! size of the total moment = 2.71 Bohr magnetons per cell
! DOS(E_F) = 1.03 states/eV per atom
! uncorrected energy = -2.904 eV per atom
&SYSTEM
  ibrav = 0, nat = 5, ntyp = 3
/
ATOMIC_SPECIES
Tl 204.38 Tl.upf
Mg 24.30 Mg.upf
W 183.84 W.upf
CELL_PARAMETERS angstrom
-1.3644 4.4940 2.5481
-4.7686 -0.0818 -2.4092
-1.9873 -2.8893 4.0315
ATOMIC_POSITIONS angstrom
Tl -4.0602 0.7615 2.0852
Mg -2.3843 -0.0409 -1.2046
Mg -0.9936 -1.4446 2.0158
Mg -0.6822 2.2470 1.2740
W 0.0000 0.0000 0.0000

---

[8]
! PBE MgTl2W, optimized geometry; values from VASP
! space group = No. 166
! size of the total moment = 0.30 Bohr magnetons per cell
! DOS(E_F) = 0.89 states/eV per atom
! uncorrected energy = -4.165 eV per atom
&SYSTEM
  ibrav = 0, nat = 4, ntyp = 3
/
ATOMIC_SPECIES
Mg 24.30 Mg.upf
Tl 204.38 Tl.upf
W 183.84 W.upf
CELL_PARAMETERS angstrom
-3.0214 -4.4935 -8.0644
-5.2956 -5.4674 -6.0348
-5.5696 -2.6398 -7.5077
ATOMIC_POSITIONS angstrom
Mg -10.4149 -9.4505 -16.2052
Tl -13.8676 -12.5835 -21.5775
Tl -6.9622 -6.3175 -10.8330
W -3.4716 -3.1502 -5.4017